The following is a DFT calculation (GGA-PBE) of MgBPt3 after structural relaxation.

```
MgBPt3
1.0
4.628 0.000 0.000
0.000 4.628 0.000
0.000 0.000 4.628
Mg B Pt
1 1 3
direct
0.000 0.000 0.000
0.500 0.500 0.500
0.000 0.000 0.500
0.000 0.500 0.000
0.500 0.000 0.000
```

Calculated values
E_form ... 1710.9 meV/atom
Total DFT energy (no corrections) ... -3.57 eV/atom
Polymorph energy (0 for the lowest one) ... 2295 meV/atom
Magnetization ... 0.00 μB per cell